Below is a relaxed structure of SrLaSi2O6, with properties calculated at the PBE-GGA level.

a = 6.7406 Å, b = 6.7406 Å, c = 7.4294 Å
α = 100.48°, β = 100.48°, γ = 110.82°
Fractional positions:
Sr (0.2174, 0.7826, 0.7500)
Sr (0.7826, 0.2174, 0.2500)
La (0.3958, 0.6042, 0.2500)
La (0.6042, 0.3958, 0.7500)
Si (0.0837, 0.2590, 0.7389)
Si (0.2590, 0.0837, 0.2389)
Si (0.7410, 0.9163, 0.7611)
Si (0.9163, 0.7410, 0.2611)
O (0.0842, 0.6536, 0.3758)
O (0.1229, 0.2160, 0.1520)
O (0.2160, 0.1229, 0.6520)
O (0.2766, 0.4761, 0.8988)
O (0.3464, 0.9158, 0.1242)
O (0.4761, 0.2766, 0.3988)
O (0.5239, 0.7234, 0.6012)
O (0.6536, 0.0842, 0.8758)
O (0.7234, 0.5239, 0.1012)
O (0.7840, 0.8771, 0.3480)
O (0.8771, 0.7840, 0.8480)
O (0.9158, 0.3464, 0.6242)

Values from the calculation:
The calculation puts the total energy at -7.47 eV/atom. As for the uncorrected formation energy: -2.75 eV/atom. As for the symmetry: C2/c, No. 15.

***

Below is a relaxed structure of La2TaSiO, with properties calculated at the PBE-GGA level.

a = 5.5268 Å, b = 5.5268 Å, c = 4.6919 Å
α = 90.00°, β = 90.00°, γ = 90.00°
Fractional positions:
La (0.0000, 0.5000, 0.0000)
La (0.5000, 0.0000, 0.0000)
Ta (0.0000, 0.0000, 0.0000)
Si (0.0000, 0.0000, 0.5000)
O (0.5000, 0.5000, 0.5000)

Values from the calculation:
The calculation puts the total energy at -6.15 eV/atom. As for the uncorrected formation energy: 0.27 eV/atom. As for the symmetry: P4/mmm, No. 123.

***

Below is a relaxed structure of LaTaSiO2, with properties calculated at the PBE-GGA level.

a = 4.0578 Å, b = 4.0578 Å, c = 8.5266 Å
α = 90.00°, β = 90.00°, γ = 90.00°
Fractional positions:
La (0.0000, 0.0000, 0.0000)
Ta (0.0000, 0.0000, 0.5000)
Si (0.5000, 0.5000, 0.5000)
O (0.0000, 0.5000, 0.0000)
O (0.5000, 0.0000, 0.0000)

Values from the calculation:
The calculation puts the total energy at -6.65 eV/atom. As for the uncorrected formation energy: -0.23 eV/atom. As for the symmetry: P4/mmm, No. 123.

***

Below is a relaxed structure of La2Ti2SiO9, with properties calculated at the PBE-GGA level.

a = 9.0167 Å, b = 9.0167 Å, c = 7.7709 Å
α = 109.93°, β = 109.93°, γ = 37.39°
Fractional positions:
La (0.1060, 0.1060, 0.1947)
La (0.2117, 0.2117, 0.8074)
La (0.7883, 0.7883, 0.1926)
La (0.8940, 0.8940, 0.8053)
Ti (0.2406, 0.7594, 0.5000)
Ti (0.4195, 0.4195, 0.0558)
Ti (0.5805, 0.5805, 0.9442)
Ti (0.7594, 0.2406, 0.5000)
Si (0.3365, 0.3365, 0.5175)
Si (0.6635, 0.6635, 0.4825)
O (0.0242, 0.0242, 0.6773)
O (0.1000, 0.5788, 0.0174)
O (0.1392, 0.6261, 0.4876)
O (0.2446, 0.2446, 0.3595)
O (0.2774, 0.7226, 0.0000)
O (0.3416, 0.3416, 0.7305)
O (0.3739, 0.8608, 0.5124)
O (0.4212, 0.9000, 0.9826)
O (0.4722, 0.4722, 0.3142)
O (0.5278, 0.5278, 0.6858)
O (0.5788, 0.1000, 0.0174)
O (0.6261, 0.1392, 0.4876)
O (0.6584, 0.6584, 0.2695)
O (0.7226, 0.2774, 0.0000)
O (0.7554, 0.7554, 0.6405)
O (0.8608, 0.3739, 0.5124)
O (0.9000, 0.4212, 0.9826)
O (0.9758, 0.9758, 0.3227)

Values from the calculation:
The calculation puts the total energy at -8.64 eV/atom. As for the uncorrected formation energy: -3.23 eV/atom. As for the symmetry: C2/m, No. 12.

***

Below is a relaxed structure of LaTiSiO6, with properties calculated at the PBE-GGA level.

a = 5.0234 Å, b = 5.0234 Å, c = 5.1414 Å
α = 90.00°, β = 90.00°, γ = 120.00°
Fractional positions:
La (0.0000, 0.0000, 0.0000)
Ti (0.3333, 0.6667, 0.5000)
Si (0.6667, 0.3333, 0.5000)
O (0.3904, 0.0251, 0.7005)
O (0.3904, 0.3653, 0.2995)
O (0.6347, 0.0251, 0.2995)
O (0.6347, 0.6096, 0.7005)
O (0.9749, 0.3653, 0.7005)
O (0.9749, 0.6096, 0.2995)

Values from the calculation:
The calculation puts the total energy at -8.13 eV/atom. As for the uncorrected formation energy: -2.79 eV/atom. As for the symmetry: P312, No. 149.

***

Below is a relaxed structure of LaTlSi2O6, with properties calculated at the PBE-GGA level.

a = 7.2747 Å, b = 7.2747 Å, c = 7.4688 Å
α = 90.58°, β = 90.58°, γ = 111.73°
Fractional positions:
La (0.1549, 0.8451, 0.7500)
La (0.8451, 0.1549, 0.2500)
Tl (0.4033, 0.5967, 0.2500)
Tl (0.5967, 0.4033, 0.7500)
Si (0.0302, 0.2736, 0.7530)
Si (0.2736, 0.0302, 0.2530)
Si (0.7264, 0.9698, 0.7470)
Si (0.9698, 0.7264, 0.2470)
O (0.0712, 0.5044, 0.7541)
O (0.1415, 0.8585, 0.0907)
O (0.1415, 0.8585, 0.4093)
O (0.1993, 0.2130, 0.2552)
O (0.2130, 0.1993, 0.7552)
O (0.4956, 0.9288, 0.7459)
O (0.5044, 0.0712, 0.2541)
O (0.7870, 0.8007, 0.2448)
O (0.8007, 0.7870, 0.7448)
O (0.8585, 0.1415, 0.5907)
O (0.8585, 0.1415, 0.9093)
O (0.9288, 0.4956, 0.2459)

Values from the calculation:
The calculation puts the total energy at -7.40 eV/atom. As for the uncorrected formation energy: -2.61 eV/atom. As for the symmetry: C2/c, No. 15.

***

Below is a relaxed structure of LaTlSiO4, with properties calculated at the PBE-GGA level.

a = 6.1309 Å, b = 5.6488 Å, c = 7.9458 Å
α = 90.00°, β = 104.94°, γ = 90.00°
Fractional positions:
La (0.2331, 0.2500, 0.0778)
La (0.7669, 0.7500, 0.9222)
Tl (0.2869, 0.2500, 0.6194)
Tl (0.7131, 0.7500, 0.3806)
Si (0.2523, 0.7500, 0.8563)
Si (0.7477, 0.2500, 0.1437)
O (0.0809, 0.5194, 0.8386)
O (0.0809, 0.9806, 0.8386)
O (0.4093, 0.7500, 0.7180)
O (0.4260, 0.7500, 0.0547)
O (0.5740, 0.2500, 0.9453)
O (0.5907, 0.2500, 0.2820)
O (0.9191, 0.0194, 0.1614)
O (0.9191, 0.4806, 0.1614)

Values from the calculation:
The calculation puts the total energy at -7.26 eV/atom. As for the uncorrected formation energy: -2.61 eV/atom. As for the symmetry: P2_1/m, No. 11.

***

Below is a relaxed structure of LaUSi2O8, with properties calculated at the PBE-GGA level.

a = 5.9260 Å, b = 5.9260 Å, c = 5.9260 Å
α = 106.30°, β = 106.30°, γ = 116.02°
Fractional positions:
La (0.0000, 0.0000, 0.0000)
U (0.2500, 0.7500, 0.5000)
Si (0.5000, 0.5000, 0.0000)
Si (0.7500, 0.2500, 0.5000)
O (0.3408, 0.1538, 0.8129)
O (0.3408, 0.5279, 0.1871)
O (0.4027, 0.0731, 0.3296)
O (0.4721, 0.6592, 0.8129)
O (0.7435, 0.0731, 0.6704)
O (0.8462, 0.6592, 0.1871)
O (0.9269, 0.2565, 0.3296)
O (0.9269, 0.5973, 0.6704)

Values from the calculation:
The calculation puts the total energy at -8.61 eV/atom. As for the uncorrected formation energy: -3.05 eV/atom. As for the symmetry: I-4m2, No. 119.